The following is a DFT calculation (PBE) of crystalline Th2CdPd8 at its relaxed geometry.

a b c (Å): 4.839 6.063 8.192
angles (deg): 111.67 107.18 90.00
Fractional coordinates of all 11 atoms:
Pd  0.000  0.251  0.000
Pd  0.000  0.749  0.000
Pd  0.178  0.178  0.356
Pd  0.645  0.406  0.289
Pd  0.355  0.594  0.711
Pd  0.645  0.884  0.290
Pd  0.822  0.822  0.644
Pd  0.355  0.116  0.710
Cd  0.500  0.000  0.000
Th  0.180  0.680  0.360
Th  0.820  0.320  0.640



The following is a DFT calculation (PBE) of crystalline ThCd2Pd8 at its relaxed geometry.

a b c (Å): 4.205 6.443 7.632
angles (deg): 105.12 105.99 90.00
Fractional coordinates of all 11 atoms:
Th  0.500  0.000  0.000
Cd  0.224  0.646  0.447
Cd  0.776  0.354  0.553
Pd  0.043  0.722  0.086
Pd  0.682  0.913  0.364
Pd  0.957  0.278  0.914
Pd  0.409  0.539  0.817
Pd  0.591  0.461  0.183
Pd  0.861  0.813  0.722
Pd  0.318  0.087  0.636
Pd  0.139  0.187  0.278



The following is a DFT calculation (PBE) of crystalline ThCd2Pd at its relaxed geometry.

a b c (Å): 3.435 3.435 7.635
angles (deg): 90.00 90.00 90.00
Fractional coordinates of all 4 atoms:
Th  0.500  0.500  0.500
Pd  0.500  0.500  0.000
Cd  0.000  0.000  0.804
Cd  0.000  0.000  0.196



The following is a DFT calculation (PBE) of crystalline ThCd3Pd3 at its relaxed geometry.

a b c (Å): 7.215 7.215 7.215
angles (deg): 90.00 90.00 90.00
Last column: magnetic moment on the atom in μB.
Fractional coordinates of all 14 atoms:
Pd  0.750  0.500  0.000  0.00
Pd  0.250  0.500  0.000  0.00
Pd  0.500  0.000  0.750  0.00
Pd  0.500  0.000  0.250  0.00
Pd  0.000  0.250  0.500  0.00
Pd  0.000  0.750  0.500  0.00
Th  0.000  0.000  0.000  0.20
Th  0.500  0.500  0.500  0.20
Cd  0.250  0.000  0.500  0.00
Cd  0.000  0.500  0.250  0.00
Cd  0.000  0.500  0.750  0.00
Cd  0.500  0.250  0.000  0.00
Cd  0.750  0.000  0.500  0.00
Cd  0.500  0.750  0.000  0.00



The following is a DFT calculation (PBE) of crystalline Th2Cd3Pd4 at its relaxed geometry.

a b c (Å): 5.818 7.439 9.372
angles (deg): 90.00 108.08 90.00
Fractional coordinates of all 18 atoms:
Cd  0.484  0.250  0.468
Cd  0.500  0.500  0.000
Cd  0.984  0.250  0.468
Cd  0.016  0.750  0.532
Cd  0.516  0.750  0.532
Cd  0.000  0.000  0.000
Pd  0.658  0.537  0.316
Pd  0.842  0.037  0.684
Pd  0.174  0.750  0.849
Pd  0.674  0.750  0.849
Pd  0.826  0.250  0.151
Pd  0.342  0.463  0.684
Pd  0.326  0.250  0.151
Pd  0.158  0.963  0.316
Th  0.894  0.421  0.787
Th  0.106  0.579  0.213
Th  0.606  0.921  0.213
Th  0.394  0.079  0.787



The following is a DFT calculation (PBE) of crystalline ThCdPd at its relaxed geometry.

a b c (Å): 4.811 4.811 4.811
angles (deg): 60.00 60.00 60.00
Fractional coordinates of all 3 atoms:
Cd  0.500  0.500  0.500
Th  0.000  0.000  0.000
Pd  0.250  0.250  0.250



| no. | energy of formation (eV per atom) |
| --- | --- |
| 1 | -0.598 |
| 2 | -0.525 |
| 3 | -0.245 |
| 4 | 0.353 |
| 5 | -0.543 |
| 6 | -0.434 |